w:
Density functional theory data (PBE-GGA) for a relaxed TaMnW2 crystal.

abc: 3.212 4.463 8.652
angles: 90.00 90.00 90.00
Space group Cmmm (No. 65)
Symmetry-distinct sites (fractional):
Ta (0.000, 0.000, 0.000)
Mn (0.000, 0.000, 0.500)
W (0.000, 0.500, 0.269)

Values from the calculation:
Calculated volume   124.0 Å³ per cell
Size of the total moment   0.310 μB/atom
Crystal system   orthorhombic


x:
Density functional theory data (PBE-GGA) for a relaxed TaMnW2 crystal.

abc: 5.316 9.006 2.678
angles: 90.00 90.00 90.00
Space group Cmmm (No. 65)
Symmetry-distinct sites (fractional):
Ta (0.000, 0.000, 0.000)
Mn (0.000, 0.500, 0.000)
W (0.250, 0.250, 0.500)

Values from the calculation:
Calculated volume   128.2 Å³ per cell
Size of the total moment   0.470 μB/atom
Crystal system   orthorhombic


y:
Density functional theory data (PBE-GGA) for a relaxed TaMnW2 crystal.

abc: 6.265 6.265 6.265
angles: 90.00 90.00 90.00
Space group F-43m (No. 216)
Symmetry-distinct sites (fractional):
Ta (0.000, 0.000, 0.000)
Mn (0.250, 0.250, 0.750)
W (0.000, 0.000, 0.500)
W (0.250, 0.250, 0.250)

Values from the calculation:
Calculated volume   245.9 Å³ per cell
Size of the total moment   0.000 μB/atom
Crystal system   cubic


z:
Density functional theory data (PBE-GGA) for a relaxed TaMnW2 crystal.

abc: 3.191 4.494 8.645
angles: 90.00 90.00 90.00
Space group Cmm2 (No. 35)
Symmetry-distinct sites (fractional):
Ta (0.000, 0.000, 0.000)
Mn (0.000, 0.500, 0.240)
W (0.000, 0.000, 0.470)
W (0.000, 0.500, 0.730)

Values from the calculation:
Calculated volume   124.0 Å³ per cell
Size of the total moment   0.284 μB/atom
Crystal system   orthorhombic


What should be chosen as the most stable of them? Choose y.


w:
Density functional theory data (PBE-GGA) for a relaxed TaMn2W crystal.

abc: 3.150 4.116 4.426
angles: 90.00 90.00 90.00
Space group Pmmm (No. 47)
Symmetry-distinct sites (fractional):
Ta (0.000, 0.000, 0.000)
Mn (0.000, 0.500, 0.500)
Mn (0.500, 0.500, 0.000)
W (0.500, 0.000, 0.500)

Values from the calculation:
Calculated volume   57.4 Å³ per cell
Size of the total moment   0.488 μB/atom
Crystal system   orthorhombic


x:
Density functional theory data (PBE-GGA) for a relaxed TaMn2W crystal.

abc: 3.164 4.440 8.159
angles: 90.00 90.00 90.00
Space group Cmmm (No. 65)
Symmetry-distinct sites (fractional):
Ta (0.000, 0.000, 0.000)
Mn (0.000, 0.500, 0.255)
W (0.000, 0.000, 0.500)

Values from the calculation:
Calculated volume   114.6 Å³ per cell
Size of the total moment   0.503 μB/atom
Crystal system   orthorhombic


What should be chosen as the most stable of them? Choose w.


w:
Density functional theory data (PBE-GGA) for a relaxed TaMn2W crystal.

abc: 5.426 8.182 2.728
angles: 90.00 109.10 90.00
Space group C2/m (No. 12)
Symmetry-distinct sites (fractional):
Ta (0.000, 0.000, 0.000)
Mn (0.250, 0.250, 0.500)
W (0.000, 0.500, 0.000)

Values from the calculation:
Calculated volume   114.4 Å³ per cell
Size of the total moment   0.505 μB/atom
Crystal system   monoclinic


x:
Density functional theory data (PBE-GGA) for a relaxed TaMn2W crystal.

abc: 2.7698 2.7698 26.3115
angles: 90.00 90.00 120.00
Space group R3m (No. 160, hexagonal axes)
Symmetry-distinct sites (fractional):
Ta (0.0000, 0.0000, 0.0000)
Mn (0.0000, 0.0000, 0.4880)
Mn (0.0000, 0.0000, 0.7537)
W (0.0000, 0.0000, 0.2367)

Values from the calculation:
Calculated volume   174.8 Å³ per cell
Size of the total moment   0.483 μB/atom
Crystal system   trigonal


What should be chosen as the most stable of them? Choose w.


w:
Density functional theory data (PBE-GGA) for a relaxed TaMn2W crystal.

abc: 2.723 4.082 5.244
angles: 90.00 100.62 90.00
Space group P2/m (No. 10)
Symmetry-distinct sites (fractional):
Ta (0.000, 0.000, 0.000)
Mn (0.254, 0.500, 0.741)
W (0.500, 0.000, 0.500)

Values from the calculation:
Calculated volume   57.3 Å³ per cell
Size of the total moment   0.509 μB/atom
Crystal system   monoclinic


x:
Density functional theory data (PBE-GGA) for a relaxed TaMn2W crystal.

abc: 4.297 4.297 3.011
angles: 90.00 90.00 90.00
Space group P4/mmm (No. 123)
Symmetry-distinct sites (fractional):
Ta (0.000, 0.000, 0.000)
Mn (0.000, 0.500, 0.500)
W (0.500, 0.500, 0.000)

Values from the calculation:
Calculated volume   55.6 Å³ per cell
Size of the total moment   0.004 μB/atom
Crystal system   tetragonal


What should be chosen as the most stable of them? Choose x.


w:
Density functional theory data (PBE-GGA) for a relaxed TaMnW crystal.

abc: 4.3757 4.3757 2.7484
angles: 90.00 90.00 120.00
Space group P3m1 (No. 156)
Symmetry-distinct sites (fractional):
Ta (0.0000, 0.0000, 0.0000)
Mn (0.3333, 0.6667, 0.6709)
W (0.6667, 0.3333, 0.3633)

Values from the calculation:
Calculated volume   45.6 Å³ per cell
Size of the total moment   0.124 μB/atom
Crystal system   trigonal


x:
Density functional theory data (PBE-GGA) for a relaxed TaMnW crystal.

abc: 3.110 3.110 9.368
angles: 90.00 90.00 90.00
Space group I4mm (No. 107)
Symmetry-distinct sites (fractional):
Ta (0.000, 0.000, 0.000)
Mn (0.000, 0.000, 0.336)
W (0.000, 0.000, 0.680)

Values from the calculation:
Calculated volume   90.6 Å³ per cell
Size of the total moment   0.031 μB/atom
Crystal system   tetragonal


y:
Density functional theory data (PBE-GGA) for a relaxed TaMnW crystal.

abc: 3.195 4.479 12.793
angles: 90.00 90.00 90.00
Space group Fmm2 (No. 42)
Symmetry-distinct sites (fractional):
Ta (0.000, 0.000, 0.000)
Mn (0.000, 0.000, 0.337)
W (0.000, 0.000, 0.682)

Values from the calculation:
Calculated volume   183.1 Å³ per cell
Size of the total moment   0.357 μB/atom
Crystal system   orthorhombic


What should be chosen as the most stable of them? Choose x.


w:
Density functional theory data (PBE-GGA) for a relaxed TaMnW crystal.

abc: 5.892 5.892 5.892
angles: 90.00 90.00 90.00
Space group F-43m (No. 216)
Symmetry-distinct sites (fractional):
Ta (0.000, 0.000, 0.000)
Mn (0.250, 0.250, 0.250)
W (0.000, 0.000, 0.500)

Values from the calculation:
Calculated volume   204.6 Å³ per cell
Size of the total moment   0.000 μB/atom
Crystal system   cubic


x:
Density functional theory data (PBE-GGA) for a relaxed TaMnW crystal.

abc: 4.951 8.589 8.643
angles: 90.00 90.00 90.00
Space group Fmmm (No. 69)
Symmetry-distinct sites (fractional):
Ta (0.000, 0.164, 0.000)
Mn (0.250, 0.250, 0.250)
W (0.000, 0.000, 0.341)

Values from the calculation:
Calculated volume   367.5 Å³ per cell
Size of the total moment   0.205 μB/atom
Crystal system   orthorhombic


What should be chosen as the most stable of them? Choose x.